TbPm2IO8: relaxed, PBE.

- symmetry = No. 65
- DOS at the Fermi energy (states/eV/atom) = 0.000
- formation energy without anion corrections (eV per atom) = -2.275
- VASP energy (eV/atom) = -6.89
- V (Å³ per cell) = 183.7

abc: 5.1404 5.1404 6.9528
angles: 90.00 90.00 90.95
Closest atoms and distances in Å follow each position.
Atoms (fractional coordinates):
Tb 0.0000 0.0000 0.0000  6 O 2.20-2.42
Pm 0.5000 0.5000 0.2508  6 O 2.24-2.44
Pm 0.5000 0.5000 0.7492  6 O 2.24-2.44
I 0.0000 0.0000 0.5000  6 O 1.89-1.93
O 0.1764 0.8236 0.2945  1 I 1.93
O 0.1764 0.8236 0.7055  1 I 1.93
O 0.2622 0.2622 0.5000  1 I 1.89
O 0.3052 0.3052 0.0000  1 Tb 2.20, 2 Pm 2.24
O 0.6948 0.6948 0.0000  1 Tb 2.20, 2 Pm 2.24
O 0.7378 0.7378 0.5000  1 I 1.89
O 0.8236 0.1764 0.2945  1 I 1.93
O 0.8236 0.1764 0.7055  1 I 1.93